# 1
A plane-wave DFT calculation with PBE-GGA was carried out for a relaxed N crystal.

Structure (POSCAR):
```
N
1.0
4.027 0.000 0.000
0.238 4.087 0.000
0.379 0.082 5.851
N
4
Cartesian
0.369 0.374 0.184 N
1.963 2.496 2.817 N
2.682 1.674 3.034 N
4.276 3.796 5.667 N
```

## Properties
Its calculated total energy is -8.325 eV per atom. The symmetry is P-1. The calculation puts the total moment at 0.000 μB per atom. As for the energy above the most stable polymorph in this dataset: 1 meV/atom.


# 2
A plane-wave DFT calculation with PBE-GGA was carried out for a relaxed MnZnBr crystal.

Structure (POSCAR):
```
MnZnBr
1.0
4.505 0.000 0.000
-2.253 3.902 0.000
0.000 0.000 3.521
Mn Zn Br
1 1 1
Cartesian
0.000 0.000 0.000 Mn
2.253 1.301 1.760 Zn
0.000 2.601 0.000 Br
```

## Properties
Its calculated total energy is -3.703 eV per atom. The symmetry is P-6m2. The calculation puts the total moment at 1.315 μB per atom. As for the energy above the most stable polymorph in this dataset: 278 meV/atom.


# 3
A plane-wave DFT calculation with PBE-GGA was carried out for a relaxed MoAs crystal.

Structure (POSCAR):
```
MoAs
1.0
3.268 0.000 0.000
0.000 4.439 0.000
-1.611 0.000 4.629
Mo As
2 2
Cartesian
-0.002 1.110 0.775 Mo
1.659 3.330 3.854 Mo
0.021 1.110 3.421 As
1.636 3.330 1.208 As
```

## Properties
Its calculated total energy is -7.769 eV per atom. The symmetry is P2_1/m. The value obtained for the formation energy is -0.03 eV/atom. The calculation puts the total moment at 0.000 μB per atom.


# 4
A plane-wave DFT calculation with PBE-GGA was carried out for a relaxed NaTl2TcPb crystal.

Structure (POSCAR):
```
NaTl2TcPb
1.0
5.910 0.000 0.000
0.000 5.910 0.000
0.000 0.000 5.684
Na Tl Tc Pb
1 2 1 1
Cartesian
0.000 0.000 0.000 Na
0.000 2.955 2.842 Tl
2.955 0.000 2.842 Tl
2.955 2.955 0.000 Tc
0.000 0.000 2.842 Pb
```

## Properties
Its calculated total energy is -2.756 eV per atom. The symmetry is P4/mmm. The value obtained for the formation energy is 1.27 eV/atom. The calculation puts the total moment at 0.854 μB per atom.


# 5
A plane-wave DFT calculation with PBE-GGA was carried out for a relaxed Cu2PtPbS crystal.

Structure (POSCAR):
```
Cu2PtPbS
1.0
4.675 0.000 0.000
0.000 4.675 0.000
0.000 0.000 5.099
Cu Pt Pb S
2 1 1 1
Cartesian
0.000 2.338 0.000 Cu
2.338 0.000 0.000 Cu
0.000 0.000 0.000 Pt
0.000 0.000 2.549 Pb
2.338 2.338 2.549 S
```

## Properties
Its calculated total energy is -3.821 eV per atom. The symmetry is P4/mmm. The calculation puts the total moment at 0.000 μB per atom.


# 6
A plane-wave DFT calculation with PBE-GGA was carried out for a relaxed BaHg4Pd crystal.

Structure (POSCAR):
```
BaHg4Pd
1.0
2.734 -8.039 0.000
2.734 8.039 0.000
0.000 0.000 7.594
Ba Hg Pd
2 8 2
Cartesian
2.734 6.372 5.696 Ba
2.734 -6.372 1.899 Ba
2.734 6.190 1.899 Hg
2.734 3.435 0.407 Hg
2.734 3.435 3.390 Hg
2.734 0.000 0.000 Hg
2.734 0.000 3.797 Hg
2.734 -3.435 4.204 Hg
2.734 -3.435 7.187 Hg
2.734 -6.190 5.696 Hg
2.734 1.923 5.696 Pd
2.734 -1.923 1.899 Pd
```

## Properties
Its calculated total energy is -1.705 eV per atom. The symmetry is Cmcm. The value obtained for the formation energy is -0.32 eV/atom. The calculation puts the total moment at 0.000 μB per atom. As for the energy above the most stable polymorph in this dataset: 30 meV/atom.


# 7
A plane-wave DFT calculation with PBE-GGA was carried out for a relaxed YTeSe crystal.

Structure (POSCAR):
```
YTeSe
1.0
-1.902 1.902 5.427
1.902 -1.902 5.427
1.902 1.902 -5.427
Y Te Se
1 1 1
Cartesian
0.000 0.000 0.000 Y
0.000 0.000 7.363 Te
0.000 0.000 4.249 Se
```

## Properties
Its calculated total energy is -5.540 eV per atom. The symmetry is I4mm. The calculation puts the total moment at 0.000 μB per atom. As for the energy above the most stable polymorph in this dataset: 239 meV/atom.


# 8
A plane-wave DFT calculation with PBE-GGA was carried out for a relaxed CaNiH3 crystal.

Structure (POSCAR):
```
CaNiH3
1.0
2.989 1.726 2.285
-2.989 1.726 2.285
0.000 -3.451 2.285
Ca Ni H
1 1 3
Cartesian
0.000 0.000 0.000 Ca
0.000 0.000 2.664 Ni
0.000 -1.347 1.884 H
-1.166 0.673 1.884 H
1.166 0.673 1.884 H
```

## Properties
Its calculated total energy is -3.535 eV per atom. The symmetry is R3m. The calculation puts the total moment at 0.200 μB per atom.